(1)
## InCoAs2Br (GGA-PBE)

Data for crystalline InCoAs2Br at its relaxed geometry.

Output
For the calculated total energy, the calculation gives -3.004 eV/atom. The raw formation energy comes out at 1.160 eV/atom. The calculation puts the density of states at the Fermi level at 3.3 states/eV per cell. The energy above the lowest structure with this stoichiometry comes out at 1010 meV per atom.

```
data_InCoAs2Br
_symmetry_space_group_name_H-M 'P 1'
_symmetry_Int_Tables_number 1
_symmetry_space_group_name_Hall 'P 1'
_cell_length_a 5.229
_cell_length_b 5.229
_cell_length_c 5.479
_cell_angle_alpha 90.00
_cell_angle_beta 90.00
_cell_angle_gamma 90.00
loop_
_atom_site_label
_atom_site_fract_x
_atom_site_fract_y
_atom_site_fract_z
In1 0.000 0.000 0.000
Co1 0.500 0.500 0.500
As1 0.000 0.500 0.000
As2 0.500 0.000 0.000
Br1 0.000 0.000 0.500
```

***

(2)
## In2CoAsBr (GGA-PBE)

Data for crystalline In2CoAsBr at its relaxed geometry.

Output
For the calculated total energy, the calculation gives -3.980 eV/atom. The raw formation energy comes out at -0.199 eV/atom. The calculation puts the density of states at the Fermi level at 3.5 states/eV per cell.

```
data_In2CoAsBr
_symmetry_space_group_name_H-M 'P 1'
_symmetry_Int_Tables_number 1
_symmetry_space_group_name_Hall 'P 1'
_cell_length_a 5.201
_cell_length_b 5.201
_cell_length_c 4.357
_cell_angle_alpha 90.00
_cell_angle_beta 90.00
_cell_angle_gamma 90.00
loop_
_atom_site_label
_atom_site_fract_x
_atom_site_fract_y
_atom_site_fract_z
In1 0.000 0.500 0.000
In2 0.500 0.000 0.000
Co1 0.000 0.000 0.000
As1 0.000 0.000 0.500
Br1 0.500 0.500 0.500
```

***

(3)
## CoAsIrBr2 (GGA-PBE)

Data for crystalline CoAsIrBr2 at its relaxed geometry.

Output
For the calculated total energy, the calculation gives -3.869 eV/atom. The raw formation energy comes out at 0.923 eV/atom. The calculation puts the density of states at the Fermi level at 9.1 states/eV per cell. The energy above the lowest structure with this stoichiometry comes out at 0 meV per atom.

```
data_CoAsIrBr2
_symmetry_space_group_name_H-M 'P 1'
_symmetry_Int_Tables_number 1
_symmetry_space_group_name_Hall 'P 1'
_cell_length_a 5.342
_cell_length_b 5.342
_cell_length_c 4.597
_cell_angle_alpha 90.00
_cell_angle_beta 90.00
_cell_angle_gamma 90.00
loop_
_atom_site_label
_atom_site_fract_x
_atom_site_fract_y
_atom_site_fract_z
Co1 0.000 0.000 0.000
As1 0.500 0.500 0.000
Ir1 0.500 0.500 0.500
Br1 0.000 0.500 0.500
Br2 0.500 0.000 0.500
```

***

(4)
## CoAs2IrBr (GGA-PBE)

Data for crystalline CoAs2IrBr at its relaxed geometry.

Output
For the calculated total energy, the calculation gives -4.469 eV/atom. The raw formation energy comes out at 0.918 eV/atom. The calculation puts the density of states at the Fermi level at 3.5 states/eV per cell. The energy above the lowest structure with this stoichiometry comes out at 0 meV per atom.

```
data_CoAs2IrBr
_symmetry_space_group_name_H-M 'P 1'
_symmetry_Int_Tables_number 1
_symmetry_space_group_name_Hall 'P 1'
_cell_length_a 4.427
_cell_length_b 4.427
_cell_length_c 4.815
_cell_angle_alpha 90.00
_cell_angle_beta 90.00
_cell_angle_gamma 90.00
loop_
_atom_site_label
_atom_site_fract_x
_atom_site_fract_y
_atom_site_fract_z
Co1 0.000 0.000 0.000
As1 0.000 0.500 0.000
As2 0.500 0.000 0.000
Ir1 0.500 0.500 0.500
Br1 0.000 0.000 0.500
```

***

(5)
## CoAsIrBr2 (GGA-PBE)

Data for crystalline CoAsIrBr2 at its relaxed geometry.

Output
For the calculated total energy, the calculation gives -3.697 eV/atom. The raw formation energy comes out at 1.096 eV/atom. The calculation puts the density of states at the Fermi level at 5.7 states/eV per cell. The energy above the lowest structure with this stoichiometry comes out at 173 meV per atom.

```
data_CoAsIrBr2
_symmetry_space_group_name_H-M 'P 1'
_symmetry_Int_Tables_number 1
_symmetry_space_group_name_Hall 'P 1'
_cell_length_a 4.789
_cell_length_b 4.789
_cell_length_c 4.464
_cell_angle_alpha 90.00
_cell_angle_beta 90.00
_cell_angle_gamma 90.00
loop_
_atom_site_label
_atom_site_fract_x
_atom_site_fract_y
_atom_site_fract_z
Co1 0.000 0.000 0.000
As1 0.000 0.000 0.500
Ir1 0.500 0.500 0.500
Br1 0.000 0.500 0.000
Br2 0.500 0.000 0.000
```

***

(6)
## La4CoAsBr2 (GGA-PBE)

Data for crystalline La4CoAsBr2 at its relaxed geometry.

Output
For the calculated total energy, the calculation gives -5.493 eV/atom. The raw formation energy comes out at -1.141 eV/atom. The calculation puts the density of states at the Fermi level at 6.0 states/eV per cell.

```
data_La4CoAsBr2
_symmetry_space_group_name_H-M 'P 1'
_symmetry_Int_Tables_number 1
_symmetry_space_group_name_Hall 'P 1'
_cell_length_a 7.726
_cell_length_b 4.081
_cell_length_c 7.921
_cell_angle_alpha 90.00
_cell_angle_beta 107.46
_cell_angle_gamma 90.00
loop_
_atom_site_label
_atom_site_fract_x
_atom_site_fract_y
_atom_site_fract_z
La1 0.204 0.000 0.191
La2 0.255 0.500 0.783
La3 0.745 0.500 0.217
La4 0.796 0.000 0.809
Co1 0.000 0.500 0.000
As1 0.500 0.000 0.000
Br1 0.000 0.000 0.500
Br2 0.500 0.500 0.500
```

***

(7)
## LiCoAs2Br (GGA-PBE)

Data for crystalline LiCoAs2Br at its relaxed geometry.

Output
For the calculated total energy, the calculation gives -4.108 eV/atom. The raw formation energy comes out at -0.110 eV/atom. The calculation puts the density of states at the Fermi level at 2.2 states/eV per cell. The energy above the lowest structure with this stoichiometry comes out at 0 meV per atom.

```
data_LiCoAs2Br
_symmetry_space_group_name_H-M 'P 1'
_symmetry_Int_Tables_number 1
_symmetry_space_group_name_Hall 'P 1'
_cell_length_a 4.289
_cell_length_b 4.289
_cell_length_c 9.282
_cell_angle_alpha 90.00
_cell_angle_beta 90.00
_cell_angle_gamma 90.00
loop_
_atom_site_label
_atom_site_fract_x
_atom_site_fract_y
_atom_site_fract_z
Li1 0.000 0.000 0.000
Co1 0.500 0.500 0.500
As1 0.000 0.500 0.500
As2 0.500 0.000 0.500
Br1 0.500 0.500 0.000
```

***

(8)
## LiCoAs2Br (GGA-PBE)

Data for crystalline LiCoAs2Br at its relaxed geometry.

Output
For the calculated total energy, the calculation gives -3.204 eV/atom. The raw formation energy comes out at 0.794 eV/atom. The calculation puts the density of states at the Fermi level at 3.9 states/eV per cell. The energy above the lowest structure with this stoichiometry comes out at 904 meV per atom.

```
data_LiCoAs2Br
_symmetry_space_group_name_H-M 'P 1'
_symmetry_Int_Tables_number 1
_symmetry_space_group_name_Hall 'P 1'
_cell_length_a 4.508
_cell_length_b 4.508
_cell_length_c 5.036
_cell_angle_alpha 90.00
_cell_angle_beta 90.00
_cell_angle_gamma 90.00
loop_
_atom_site_label
_atom_site_fract_x
_atom_site_fract_y
_atom_site_fract_z
Li1 0.000 0.000 0.000
Co1 0.500 0.500 0.500
As1 0.000 0.500 0.000
As2 0.500 0.000 0.000
Br1 0.000 0.000 0.500
```

***

> calculated total energy of number 8 (LiCoAs2Br)?

-3.204 eV/atom

***

> Which of these has the lowest raw formation energy?

La4CoAsBr2